No. 1
Computed, not measured: crystalline BeCd2W at its relaxed geometry at the PBE level of DFT.

a b c (Å): 2.804 2.804 8.289
angles (deg): 90.00 90.00 90.00
Positions (direct):
Be 0.000 0.000 0.000
Cd 0.500 0.500 0.222
Cd 0.500 0.500 0.778
W 0.000 0.000 0.500

The value obtained for the formation enthalpy at 0 K is 2.43 eV per formula unit.

***

No. 2
Computed, not measured: crystalline La2Tc at its relaxed geometry at the PBE level of DFT.

a b c (Å): 4.628 5.435 14.129
angles (deg): 90.00 90.00 90.00
Positions (direct):
La 0.000 0.000 0.123
La 0.000 0.000 0.877
La 0.000 0.500 0.377
La 0.000 0.500 0.623
La 0.500 0.000 0.377
La 0.500 0.000 0.623
La 0.500 0.500 0.123
La 0.500 0.500 0.877
Tc 0.000 0.000 0.500
Tc 0.000 0.500 0.000
Tc 0.500 0.000 0.000
Tc 0.500 0.500 0.500

The excess energy over the best structure of this formula in the dataset is 3.9 kJ per mole of atoms. The value obtained for the formation enthalpy at 0 K is 0.22 eV per formula unit.

***

No. 3
Computed, not measured: crystalline Ti2CoIr at its relaxed geometry at the PBE level of DFT.

a b c (Å): 6.104 6.104 6.104
angles (deg): 90.00 90.00 90.00
Positions (direct):
Ti 0.250 0.250 0.250
Ti 0.250 0.250 0.750
Ti 0.250 0.750 0.250
Ti 0.250 0.750 0.750
Ti 0.750 0.250 0.250
Ti 0.750 0.250 0.750
Ti 0.750 0.750 0.250
Ti 0.750 0.750 0.750
Co 0.000 0.000 0.000
Co 0.000 0.500 0.500
Co 0.500 0.000 0.500
Co 0.500 0.500 0.000
Ir 0.000 0.000 0.500
Ir 0.000 0.500 0.000
Ir 0.500 0.000 0.000
Ir 0.500 0.500 0.500

The excess energy over the best structure of this formula in the dataset is 0.0 kJ per mole of atoms. The value obtained for the formation enthalpy at 0 K is -2.48 eV per formula unit.

***

Respective M_tot values: 0.0000; 0.0000; 0.0000 μB/atom.